[1]
A plane-wave DFT calculation with PBE was carried out for BaTe2Pt after structural relaxation.

a = 4.8028 Å, b = 4.9792 Å, c = 6.1658 Å
α = 79.11°, β = 90.00°, γ = 90.00°
Element x y z (fractional)
Ba 0.0000 0.5220 0.4854
Pt 0.5000 0.0089 0.7651
Te 0.0000 0.9212 0.9145
Te 0.5000 0.0479 0.3350

Calculated values
magnetization = 0.000 μB per cell
formation energy without anion corrections = -0.80 eV per atom
energy above the most stable polymorph in this dataset = 125 meV/atom

=====

[2]
A plane-wave DFT calculation with PBE was carried out for BaTePt after structural relaxation.

a = 4.7246 Å, b = 9.2802 Å, c = 4.8386 Å
α = 105.11°, β = 90.00°, γ = 90.00°
Element x y z (fractional)
Te 0.8782 0.1078 0.6522
Te 0.8783 0.5243 0.3620
Ba 0.3783 0.3999 0.8001
Ba 0.3782 0.9191 0.0579
Pt 0.8782 0.6587 0.9291
Pt 0.8782 0.8163 0.5077

Calculated values
magnetization = 0.000 μB per cell
formation energy without anion corrections = -1.05 eV per atom

=====

[3]
A plane-wave DFT calculation with PBE was carried out for BaTe2Pt after structural relaxation.

a = 5.3508 Å, b = 5.3508 Å, c = 5.3508 Å
α = 70.87°, β = 70.87°, γ = 70.87°
Element x y z (fractional)
Te 0.2117 0.2117 0.2117
Te 0.7883 0.7883 0.7883
Ba 0.5000 0.5000 0.5000
Pt 0.0000 0.0000 0.0000

Calculated values
magnetization = 0.000 μB per cell
formation energy without anion corrections = -0.55 eV per atom
energy above the most stable polymorph in this dataset = 372 meV/atom

=====

[4]
A plane-wave DFT calculation with PBE was carried out for BaTe2Pt after structural relaxation.

a = 7.2798 Å, b = 7.2798 Å, c = 7.2798 Å
α = 36.78°, β = 36.78°, γ = 36.78°
Element x y z (fractional)
Ba 0.2500 0.2500 0.2500
Pt 0.7500 0.7500 0.7500
Te 0.0265 0.0265 0.0265
Te 0.4735 0.4735 0.4735

Calculated values
magnetization = 0.000 μB per cell
formation energy without anion corrections = -0.65 eV per atom
energy above the most stable polymorph in this dataset = 277 meV/atom

=====

[5]
A plane-wave DFT calculation with PBE was carried out for BaTePt3 after structural relaxation.

a = 5.3692 Å, b = 5.3692 Å, c = 5.3692 Å
α = 90.00°, β = 90.00°, γ = 90.00°
Element x y z (fractional)
Te 0.5000 0.5000 0.5000
Ba 0.0000 0.0000 0.0000
Pt 0.0000 0.5000 0.0000
Pt 0.0000 0.0000 0.5000
Pt 0.5000 0.0000 0.0000

Calculated values
magnetization = 0.000 μB per cell
formation energy without anion corrections = 1.53 eV per atom
energy above the most stable polymorph in this dataset = 1778 meV/atom

=====

[6]
A plane-wave DFT calculation with PBE was carried out for Ba2TePt2 after structural relaxation.

a = 8.0457 Å, b = 8.0457 Å, c = 4.5255 Å
α = 90.00°, β = 90.00°, γ = 90.00°
Element x y z (fractional)
Te 0.0000 0.0000 0.0000
Te 0.5000 0.5000 0.0000
Ba 0.1819 0.6819 0.5000
Ba 0.6819 0.8181 0.5000
Ba 0.8181 0.3181 0.5000
Ba 0.3181 0.1819 0.5000
Pt 0.3828 0.8828 0.0000
Pt 0.8828 0.6172 0.0000
Pt 0.6172 0.1172 0.0000
Pt 0.1172 0.3828 0.0000

Calculated values
magnetization = 0.000 μB per cell
formation energy without anion corrections = -0.82 eV per atom
energy above the most stable polymorph in this dataset = 95 meV/atom

=====

[7]
A plane-wave DFT calculation with PBE was carried out for BaTe2Pt after structural relaxation.

a = 6.2004 Å, b = 6.2004 Å, c = 6.2004 Å
α = 141.04°, β = 119.45°, γ = 74.38°
Element x y z (fractional)
Ba 0.7500 0.2500 0.5000
Pt 0.2500 0.7500 0.5000
Te 0.0778 0.0778 0.0000
Te 0.4222 0.4222 0.0000

Calculated values
magnetization = 0.000 μB per cell
formation energy without anion corrections = -0.90 eV per atom
energy above the most stable polymorph in this dataset = 20 meV/atom

=====

[8]
A plane-wave DFT calculation with PBE was carried out for BaTe2Pt after structural relaxation.

a = 5.0938 Å, b = 5.1004 Å, c = 4.3313 Å
α = 90.00°, β = 90.00°, γ = 90.00°
Element x y z (fractional)
Ba 0.5000 0.0000 0.5000
Pt 0.0000 0.5000 0.5000
Te 0.0000 0.0000 0.0000
Te 0.5000 0.5000 0.0000

Calculated values
magnetization = 0.000 μB per cell
formation energy without anion corrections = -0.40 eV per atom
energy above the most stable polymorph in this dataset = 522 meV/atom